The following is a DFT calculation (PBE-GGA) of a relaxed LiY2TeP crystal.

Values from the calculation:
Its space-group type is P4/mmm. The total energy comes out at -4.8407 eV per atom. The value obtained for the magnetization is 0.0 μB per formula unit. The calculation puts the density at 3.89 Mg/m³.

a = 5.649 Å, b = 4.595 Å, c = 5.649 Å
α = 90.00°, β = 90.00°, γ = 90.00°
Fractional positions:
Y (0.000, 0.000, 0.500)
Y (0.500, 0.000, 0.000)
P (0.500, 0.500, 0.500)
Te (0.000, 0.000, 0.000)
Li (0.000, 0.500, 0.000)